DFT (PBE-GGA) results for crystalline CaTaRu2 at its relaxed geometry.

Cell lengths 3.2064, 3.2064, 6.9411 Å; angles 90.00, 90.00, 90.00 degrees
With the nearest neighbours (Å) after each atom.
Sites, in units of the cell vectors:
Ca: 0.0000 0.0000 0.0000  8 Ru 3.03, 4 Ca 3.21
Ta: 0.0000 0.0000 0.5000  8 Ru 2.70
Ru: 0.5000 0.5000 0.2888  4 Ta 2.70, 1 Ru 2.93
Ru: 0.5000 0.5000 0.7112  4 Ta 2.70, 1 Ru 2.93

- space-group type = No. 123
- raw total energy (eV per atom) = -8.29
- DOS(E_F) (states/eV per cell) = 2.7
- E_form (meV/atom) = -193